No. 1
Computed, not measured: a relaxed structure of AlGe2CF at the PBE level of DFT.

Unit cell a=4.949 b=3.524 c=4.949 alpha=90.00 beta=90.00 gamma=90.00
Each line ends with the local moment (μB).
Fractional positions:
F 0.000 0.500 0.000  0.00
C 0.500 0.500 0.500  0.29
Al 0.000 0.000 0.000  0.01
Ge 0.000 0.000 0.500  -0.01
Ge 0.500 0.000 0.000  -0.03

As for the space group: No. 123. For the volume, the calculation gives 86.3 Å³/f.u. The value obtained for the electronic total energy is -4.140 eV/atom.



No. 2
Computed, not measured: a relaxed structure of AcBF at the PBE level of DFT.

Unit cell a=4.274 b=8.372 c=4.407 alpha=100.54 beta=61.00 gamma=75.21
Fractional positions:
F 0.081 0.597 0.242
F 0.919 0.403 0.758
Ac 0.607 0.748 0.039
Ac 0.393 0.252 0.961
B 0.871 0.084 0.173
B 0.129 0.916 0.827

As for the space group: No. 12. For the volume, the calculation gives 62.1 Å³/f.u. The value obtained for the electronic total energy is -5.955 eV/atom.



No. 3
Computed, not measured: a relaxed structure of TiHgPb at the PBE level of DFT.

Unit cell a=3.298 b=3.544 c=13.034 alpha=105.81 beta=75.39 gamma=90.09
Fractional positions:
Pb 0.873 0.627 0.877
Pb 0.127 0.373 0.123
Hg 0.444 0.057 0.306
Hg 0.556 0.943 0.694
Ti 0.810 0.691 0.440
Ti 0.190 0.309 0.560

The formation enthalpy at 0 K is 0.708 kcal/mol of atoms. As for the space group: No. 2. For the volume, the calculation gives 70.7 Å³/f.u. The value obtained for the electronic total energy is -3.938 eV/atom.



No. 4
Computed, not measured: a relaxed structure of AcAl2Ir2 at the PBE level of DFT.

Unit cell a=4.141 b=4.141 c=6.512 alpha=108.54 beta=108.54 gamma=90.00
Fractional positions:
Ac 0.000 0.000 0.000
Ir 0.622 0.622 0.245
Ir 0.378 0.378 0.755
Al 0.250 0.750 0.500
Al 0.750 0.250 0.500

The formation enthalpy at 0 K is -19.086 kcal/mol of atoms. As for the space group: No. 139. For the volume, the calculation gives 99.7 Å³/f.u. The value obtained for the electronic total energy is -6.691 eV/atom.



No. 5
Computed, not measured: a relaxed structure of AuICl at the PBE level of DFT.

Unit cell a=3.823 b=8.165 c=7.046 alpha=89.80 beta=90.03 gamma=89.99
Fractional positions:
Au 0.251 0.250 0.620
Au 0.749 0.750 0.380
Cl 0.249 0.750 0.150
Cl 0.751 0.250 0.850
I 0.250 0.750 0.654
I 0.750 0.250 0.346

As for the space group: No. 2. For the volume, the calculation gives 110.0 Å³/f.u. The value obtained for the electronic total energy is -2.347 eV/atom.



No. 6
Computed, not measured: a relaxed structure of Dy6MgMn2 at the PBE level of DFT.

Unit cell a=8.454 b=8.454 c=8.454 alpha=107.66 beta=110.09 gamma=110.68
Each line ends with the local moment (μB).
Fractional positions:
Dy 0.780 0.771 0.551  -0.03
Dy 0.220 0.771 0.991  -0.03
Dy 0.293 0.602 0.309  -0.13
Dy 0.903 0.714 0.189  -0.12
Dy 0.475 0.286 0.189  -0.12
Dy 0.293 0.984 0.691  -0.13
Dy 0.220 0.229 0.449  -0.03
Dy 0.707 0.398 0.691  -0.13
Dy 0.780 0.229 0.009  -0.03
Dy 0.707 0.016 0.309  -0.13
Dy 0.525 0.714 0.811  -0.12
Dy 0.097 0.286 0.811  -0.12
Mn 0.500 0.396 0.896  0.92
Mn 0.613 0.000 0.613  1.51
Mn 0.387 0.000 0.387  1.51
Mn 0.500 0.604 0.104  0.92
Mg 0.000 0.000 0.000  0.00
Mg 0.000 0.500 0.500  -0.01

The formation enthalpy at 0 K is 1.027 kcal/mol of atoms. As for the space group: No. 71. For the volume, the calculation gives 232.4 Å³/f.u. The value obtained for the electronic total energy is -5.238 eV/atom.



No. 7
Computed, not measured: a relaxed structure of TbPaBi2O8 at the PBE level of DFT.

Unit cell a=6.348 b=6.348 c=6.348 alpha=109.82 beta=109.82 gamma=108.79
Fractional positions:
O 0.973 0.675 0.703
O 0.291 0.105 0.814
O 0.730 0.027 0.703
O 0.973 0.270 0.297
O 0.291 0.477 0.186
O 0.523 0.709 0.814
O 0.325 0.027 0.297
O 0.895 0.709 0.186
Pa 0.000 0.000 0.000
Bi 0.500 0.500 0.000
Bi 0.750 0.250 0.500
Tb 0.250 0.750 0.500

As for the space group: No. 119. For the volume, the calculation gives 196.9 Å³/f.u. The value obtained for the electronic total energy is -7.266 eV/atom.



No. 8
Computed, not measured: a relaxed structure of Pr5Dy3 at the PBE level of DFT.

Unit cell a=3.663 b=3.663 c=20.566 alpha=90.00 beta=90.00 gamma=90.00
Fractional positions:
Dy 0.500 0.500 0.123
Dy 0.000 0.000 0.500
Dy 0.500 0.500 0.877
Pr 0.000 0.000 0.000
Pr 0.500 0.500 0.376
Pr 0.000 0.000 0.753
Pr 0.500 0.500 0.624
Pr 0.000 0.000 0.247

The formation enthalpy at 0 K is 0.513 kcal/mol of atoms. As for the space group: No. 123. For the volume, the calculation gives 275.9 Å³/f.u. The value obtained for the electronic total energy is -4.691 eV/atom.



No. 9
Computed, not measured: a relaxed structure of Tl3HgCl4 at the PBE level of DFT.

Unit cell a=6.284 b=9.152 c=11.023 alpha=90.00 beta=90.00 gamma=90.00
Fractional positions:
Cl 0.564 0.677 0.253
Cl 0.064 0.323 0.753
Cl 0.566 0.136 0.500
Cl 0.066 0.864 0.000
Cl 0.064 0.323 0.247
Cl 0.564 0.189 0.000
Cl 0.564 0.677 0.747
Cl 0.064 0.811 0.500
Tl 0.065 0.154 0.500
Tl 0.064 0.671 0.757
Tl 0.564 0.329 0.257
Tl 0.565 0.846 0.000
Tl 0.564 0.329 0.743
Tl 0.064 0.671 0.243
Hg 0.065 0.186 0.000
Hg 0.565 0.814 0.500

As for the space group: No. 31. For the volume, the calculation gives 317.0 Å³/f.u. The value obtained for the electronic total energy is -2.616 eV/atom.



No. 10
Computed, not measured: a relaxed structure of ScCrGaOs2 at the PBE level of DFT.

Unit cell a=4.474 b=4.622 c=4.474 alpha=90.00 beta=90.00 gamma=90.00
Fractional positions:
Sc 0.000 0.500 0.000
Ga 0.500 0.500 0.500
Os 0.500 0.000 0.000
Os 0.000 0.000 0.500
Cr 0.000 0.000 0.000

The formation enthalpy at 0 K is 21.997 kcal/mol of atoms. As for the space group: No. 123. For the volume, the calculation gives 92.5 Å³/f.u. The value obtained for the electronic total energy is -7.334 eV/atom.



No. 11
Computed, not measured: a relaxed structure of ZrPb3 at the PBE level of DFT.

Unit cell a=5.749 b=5.749 c=3.402 alpha=90.00 beta=90.00 gamma=104.48
Fractional positions:
Pb 0.500 0.000 0.500
Pb 0.000 0.500 0.500
Pb 0.500 0.500 0.000
Zr 0.000 0.000 0.000

The formation enthalpy at 0 K is 1.549 kcal/mol of atoms. As for the space group: No. 65. For the volume, the calculation gives 108.9 Å³/f.u. The value obtained for the electronic total energy is -4.851 eV/atom.



No. 12
Computed, not measured: a relaxed structure of YFe2P at the PBE level of DFT.

Unit cell a=5.185 b=5.185 c=5.185 alpha=140.21 beta=132.53 gamma=63.62
Each line ends with the local moment (μB).
Fractional positions:
Y 0.750 0.250 0.500  -0.19
Fe 0.013 0.013 0.000  2.54
Fe 0.487 0.487 0.000  2.54
P 0.250 0.750 0.500  0.07

The formation enthalpy at 0 K is -1.060 kcal/mol of atoms. As for the space group: No. 71. For the volume, the calculation gives 64.9 Å³/f.u. The value obtained for the electronic total energy is -7.246 eV/atom.